Compound: KLa4I8
Source: Alexandria
Functional: PBE
Structure: optimized geometry

Summary:
energy relative to the elements, uncorrected = -1.341 eV per atom
crystal system = trigonal

abc: 8.4361 8.4361 28.7202
angles: 90.00 90.00 120.00
With the nearest neighbours (Å) after each atom.
Space group R-3m (No. 166, hexagonal axes)
Unique sites:
K1 0.0000 0.0000 0.0000 x3  6 I 3.57
La1 0.0000 0.0000 0.5000 x3  6 I 3.27
La2 0.0000 0.5000 0.5000 x9  6 I 3.26-3.29
I1 0.0000 0.0000 0.2422 x6  3 La 3.26
I2 0.0024 0.5012 0.2432 x18  3 La 3.27-3.29, 1 K 3.57